# 1
The following is a PBE-GGA calculation of a relaxed Ge2Mo4CN crystal, from OQMD via LeMat-Bulk.

a = 3.165 Å, b = 3.165 Å, c = 12.418 Å
α = 90.00°, β = 90.00°, γ = 120.00°
Fractional positions:
Ge (0.333, 0.667, 0.248)
Ge (0.667, 0.333, 0.752)
Mo (0.333, 0.667, 0.590)
Mo (0.333, 0.667, 0.915)
Mo (0.667, 0.333, 0.085)
Mo (0.667, 0.333, 0.410)
C (0.000, 0.000, 0.500)
N (0.000, 0.000, 0.000)

# 2
The following is a PBE-GGA calculation of a relaxed Nb2Ge3Mo4C3 crystal, from OQMD via LeMat-Bulk.

a = 5.496 Å, b = 5.496 Å, c = 13.047 Å
α = 102.28°, β = 102.28°, γ = 60.06°
Fractional positions:
Nb (0.033, 0.865, 0.598)
Nb (0.135, 0.967, 0.902)
Nb (0.865, 0.033, 0.098)
Nb (0.967, 0.135, 0.402)
Ge (0.083, 0.272, 0.750)
Ge (0.272, 0.083, 0.250)
Ge (0.438, 0.562, 0.750)
Ge (0.562, 0.438, 0.250)
Ge (0.728, 0.917, 0.750)
Ge (0.917, 0.728, 0.250)
Mo (0.196, 0.364, 0.087)
Mo (0.306, 0.469, 0.413)
Mo (0.364, 0.196, 0.587)
Mo (0.469, 0.306, 0.913)
Mo (0.531, 0.694, 0.087)
Mo (0.636, 0.804, 0.413)
Mo (0.694, 0.531, 0.587)
Mo (0.804, 0.636, 0.913)
C (0.000, 0.500, 0.500)
C (0.164, 0.672, 0.000)
C (0.328, 0.836, 0.500)
C (0.500, 0.000, 0.000)
C (0.672, 0.164, 0.500)
C (0.836, 0.328, 0.000)

Energy across the listed records, respectively: -8.8341 -8.9893 eV per atom.